Below is a relaxed structure of Tb5YSc2, with properties calculated at the PBE level.

```
8
Lattice="0.0288 1.4324 -6.8098 2.5245 -6.0884 2.2328 -6.0215 -1.2323 3.2631" Properties=species:S:1:pos:R:3 pbc="T T T"
Tb -1.0248 -4.2383 -1.9283
Tb -2.3015 -1.9108 0.3604
Tb -5.2973 -1.8092 -1.4140
Tb -4.0493 -5.5693 3.1071
Tb 0.7088 -1.2933 -1.2721
Sc -2.2861 -1.1938 -3.0448
Sc -1.0384 -4.9546 1.4761
Y 1.9853 -3.6215 -3.5608
```

Output
crystal system = orthorhombic
E = -5.2389 eV per atom
ΔE to the lowest computed polymorph = 0.00 eV/f.u.
symmetry = Immm (71)

=====

Below is a relaxed structure of Mn2VAsC, with properties calculated at the PBE level.

```
5
Lattice="-3.3104 2.2784 2.1005 1.4860 -1.5301 4.0016 2.7393 3.6360 0.3731" Properties=species:S:1:pos:R:3 pbc="T T T"
C 0.4574 2.1922 3.2376
As 1.3696 1.8180 0.1865
V 0.0000 0.0000 0.0000
Mn 0.7430 -0.7650 2.0008
Mn -1.6552 1.1392 1.0502
```

Output
crystal system = tetragonal
E = -6.3610 eV per atom
symmetry = P4/mmm (123)

=====

Below is a relaxed structure of Li2YEr2Sn2, with properties calculated at the PBE level.

```
7
Lattice="-3.9113 -0.6387 2.6494 -0.1955 -3.5852 3.1359 1.9652 3.8174 8.1103" Properties=species:S:1:pos:R:3 pbc="T T T"
Li -0.1128 1.2981 8.7241
Li -2.0288 -1.7047 5.1716
Y 0.0000 0.0000 0.0000
Er 0.6709 1.7888 5.7105
Er -2.8125 -2.1954 8.1852
Sn -1.4826 -0.1111 10.6510
Sn -0.6590 -0.2954 3.2447
```

Output
crystal system = trigonal
E = -4.3627 eV per atom
symmetry = R-3m (166)

=====

Below is a relaxed structure of BaSr3Ir, with properties calculated at the PBE level.

```
10
Lattice="7.1349 -0.0033 0.0080 -0.0111 8.6771 -0.0101 -0.0679 4.2657 7.4552" Properties=species:S:1:pos:R:3 pbc="T T T"
Sr 0.0976 4.8388 5.6482
Sr 3.4574 6.9913 6.8866
Sr 6.8921 2.7176 1.9129
Sr 3.4911 4.8600 3.1674
Sr 3.6262 11.1912 6.9947
Sr 7.0630 6.8412 2.0124
Ir 5.2712 4.7936 0.7371
Ir 1.7133 6.9409 4.4347
Ba 7.0315 9.0696 5.7373
Ba 3.3015 9.0791 3.1990
```

Output
crystal system = triclinic
E = -3.3214 eV per atom
ΔE to the lowest computed polymorph = 0.04 eV/f.u.
symmetry = P1 (1)

=====

| no. | M_tot (Bohr magnetons per cell) |
| --- | --- |
| 1 | 0.000 |
| 2 | 4.893 |
| 3 | 0.000 |
| 4 | 0.000 |